## ZrCr2FeOs (PBE)

Data for a geometry-optimized ZrCr2FeOs structure.

The structure belongs to space group P4/mmm (No. 123); the cell edges are 4.194, 4.194 and 4.602 Å and the angles 90.00°, 90.00° and 90.00°. Symmetry generates all atoms from Zr at (0.000, 0.000, 0.000), Cr at (0.000, 0.500, 0.500), Fe at (0.500, 0.500, 0.500) and Os at (0.500, 0.500, 0.000).

The total DFT energy (no corrections) is -43.633 eV for the cell shown. Its size of the total moment is 1.90 μB/f.u. For the density of states at the Fermi level, the calculation gives 6.7 states/eV per cell. The formation energy comes out at 0.77 eV per atom.

## SrNbH3 (PBE)

Data for a geometry-optimized SrNbH3 structure.

The structure belongs to space group Pm-3m (No. 221); the cell edges are 3.967, 3.967 and 3.967 Å and the angles 90.00°, 90.00° and 90.00°. Symmetry generates all atoms from Sr at (0.000, 0.000, 0.000), Nb at (0.500, 0.500, 0.500) and H at (0.000, 0.500, 0.500).

Its energy above the most stable polymorph in this dataset is 0 meV/atom. The total DFT energy (no corrections) is -22.487 eV for the cell shown. Its size of the total moment is 1.67 μB/f.u. For the density of states at the Fermi level, the calculation gives 3.0 states/eV per cell.

## Sm4PtS2Br (PBE)

Data for a geometry-optimized Sm4PtS2Br structure.

The structure belongs to space group P2/m (No. 10); the cell edges are 7.187, 3.968 and 7.273 Å and the angles 90.00°, 108.10° and 90.00°. Symmetry generates all atoms from Sm at (0.228, 0.000, 0.222), Sm at (0.237, 0.500, 0.753), Pt at (0.000, 0.000, 0.500), S at (0.000, 0.500, 0.000), S at (0.500, 0.000, 0.000) and Br at (0.500, 0.500, 0.500).

As for the raw formation energy: -1.57 eV per atom. The total DFT energy (no corrections) is -47.404 eV for the cell shown. Its size of the total moment is 0.00 μB/f.u. For the density of states at the Fermi level, the calculation gives 4.2 states/eV per cell.

## SmDyHo2Hg4 (PBE)

Data for a geometry-optimized SmDyHo2Hg4 structure.

The structure belongs to space group R-3m (No. 166, hexagonal axes); the cell edges are 5.2764, 5.2764 and 25.9145 Å and the angles 90.00°, 90.00° and 120.00°. Symmetry generates all atoms from Sm at (0.0000, 0.0000, 0.0000), Dy at (0.0000, 0.0000, 0.5000), Ho at (0.0000, 0.0000, 0.2496), Hg at (0.0000, 0.0000, 0.1261) and Hg at (0.0000, 0.0000, 0.3763).

The total DFT energy (no corrections) is -70.457 eV for the cell shown. Its size of the total moment is 0.63 μB/f.u. For the density of states at the Fermi level, the calculation gives 25.4 states/eV per cell. The formation energy comes out at -0.48 eV per atom.